A plane-wave DFT calculation with PBE+U was carried out for NaLaCeNiO6 after structural relaxation.

abc: 8.045 8.045 8.045
angles: 90.00 90.00 90.00
Space group F-43m (No. 216)
Symmetry-distinct sites (fractional):
Na (0.000, 0.000, 0.000)
La (0.000, 0.000, 0.500)
Ce (0.250, 0.250, 0.250)
Ni (0.250, 0.250, 0.750)
O (0.019, 0.250, 0.750)

Total magnetic moment (μB per formula unit): 0.00
Volume (A^3/atom): 13.02
Uncorrected energy (eV for the cell shown): -263.2